Entry 1:
Here is an optimized crystal structure of SrTc2Te from the Alexandria database. Energies are from PBE.

Summary:
Its total magnetic moment is 2.340 μB per cell. The uncorrected formation energy comes out at 839 meV per atom. As for the final energy: -5.550 eV per atom.

Unit cell a=5.8976 b=5.8976 c=3.0966 alpha=105.02 beta=105.02 gamma=117.20
Element x y z (fractional)
1 Sr 0.0000 0.0000 0.0000
2 Tc 0.0000 0.5000 0.5000
3 Tc 0.5000 0.0000 0.5000
4 Te 0.5000 0.5000 0.0000

Entry 2:
Here is an optimized crystal structure of SrTc2Te from the Alexandria database. Energies are from PBE.

Summary:
Its total magnetic moment is 3.402 μB per cell. The uncorrected formation energy comes out at 796 meV per atom. As for the final energy: -5.593 eV per atom.

Unit cell a=5.4550 b=5.4550 c=5.4550 alpha=133.41 beta=133.41 gamma=68.01
Element x y z (fractional)
1 Sr 0.0000 0.0000 0.0000
2 Tc 0.2500 0.7500 0.5000
3 Tc 0.7500 0.2500 0.5000
4 Te 0.5000 0.5000 0.0000

Entry 3:
Here is an optimized crystal structure of SrTc2Te from the Alexandria database. Energies are from PBE.

Summary:
Its total magnetic moment is 0.001 μB per cell. The uncorrected formation energy comes out at 799 meV per atom. As for the final energy: -5.590 eV per atom.

Unit cell a=9.0203 b=9.0203 c=9.0203 alpha=21.40 beta=21.40 gamma=21.40
Element x y z (fractional)
1 Sr 0.0000 0.0000 0.0000
2 Tc 0.2365 0.2365 0.2365
3 Tc 0.7635 0.7635 0.7635
4 Te 0.5000 0.5000 0.5000

Entry 4:
Here is an optimized crystal structure of SrTc2Te from the Alexandria database. Energies are from PBE.

Summary:
Its total magnetic moment is 1.751 μB per cell. The uncorrected formation energy comes out at 711 meV per atom. As for the final energy: -5.678 eV per atom.

Unit cell a=5.0177 b=5.0177 c=5.0177 alpha=124.31 beta=124.31 gamma=82.68
Element x y z (fractional)
1 Sr 0.0000 0.0000 0.0000
2 Tc 0.2500 0.7500 0.5000
3 Tc 0.5000 0.5000 0.0000
4 Te 0.7500 0.2500 0.5000

Entry 5:
Here is an optimized crystal structure of SrTcTe2 from the Alexandria database. Energies are from PBE.

Summary:
Its total magnetic moment is 1.000 μB per cell. The uncorrected formation energy comes out at -107 meV per atom. As for the final energy: -4.689 eV per atom.

Unit cell a=5.1718 b=5.1718 c=5.1718 alpha=60.00 beta=60.00 gamma=60.00
Element x y z (fractional)
1 Sr 0.0000 0.0000 0.0000
2 Tc 0.5000 0.5000 0.5000
3 Te 0.2500 0.2500 0.2500
4 Te 0.7500 0.7500 0.7500

Entry 6:
Here is an optimized crystal structure of SrTcTe2 from the Alexandria database. Energies are from PBE.

Summary:
Its total magnetic moment is 0.000 μB per cell. The uncorrected formation energy comes out at -234 meV per atom. As for the final energy: -4.817 eV per atom.

Unit cell a=8.1774 b=8.1774 c=8.1774 alpha=132.34 beta=132.34 gamma=69.69
Element x y z (fractional)
1 Sr 0.0000 0.0000 0.0000
2 Sr 0.7500 0.2500 0.5000
3 Tc 0.2500 0.7500 0.5000
4 Tc 0.5000 0.5000 0.0000
5 Te 0.2099 0.6250 0.0849
6 Te 0.3750 0.4599 0.5849
7 Te 0.5401 0.1250 0.9151
8 Te 0.8750 0.7901 0.4151

Entry 7:
Here is an optimized crystal structure of SrTcTe2 from the Alexandria database. Energies are from PBE.

Summary:
Its total magnetic moment is 0.890 μB per cell. The uncorrected formation energy comes out at -298 meV per atom. As for the final energy: -4.880 eV per atom.

Unit cell a=7.7735 b=7.7735 c=7.7735 alpha=152.68 beta=150.12 gamma=40.93
Element x y z (fractional)
1 Sr 0.0000 0.0000 0.0000
2 Tc 0.2431 0.7431 0.5000
3 Te 0.3793 0.3793 0.0000
4 Te 0.6752 0.1752 0.5000

Entry 8:
Here is an optimized crystal structure of SrTcTe2 from the Alexandria database. Energies are from PBE.

Summary:
Its total magnetic moment is 3.681 μB per cell. The uncorrected formation energy comes out at 420 meV per atom. As for the final energy: -4.162 eV per atom.

Unit cell a=5.3939 b=5.3939 c=5.3939 alpha=60.00 beta=60.00 gamma=60.00
Element x y z (fractional)
1 Sr 0.0000 0.0000 0.0000
2 Tc 0.7500 0.7500 0.7500
3 Te 0.2500 0.2500 0.2500
4 Te 0.5000 0.5000 0.5000

Entry 9:
Here is an optimized crystal structure of SrTcTe2 from the Alexandria database. Energies are from PBE.

Summary:
Its total magnetic moment is 4.941 μB per cell. The uncorrected formation energy comes out at 86 meV per atom. As for the final energy: -4.496 eV per atom.

Unit cell a=9.1516 b=9.1516 c=9.1516 alpha=31.74 beta=31.74 gamma=31.74
Element x y z (fractional)
1 Sr 0.0000 0.0000 0.0000
2 Tc 0.5000 0.5000 0.5000
3 Te 0.3988 0.3988 0.3988
4 Te 0.6012 0.6012 0.6012

Entry 10:
Here is an optimized crystal structure of SrTcTe2 from the Alexandria database. Energies are from PBE.

Summary:
Its total magnetic moment is 3.928 μB per cell. The uncorrected formation energy comes out at 83 meV per atom. As for the final energy: -4.500 eV per atom.

Unit cell a=6.6514 b=6.6514 c=6.6514 alpha=141.32 beta=141.32 gamma=55.86
Element x y z (fractional)
1 Sr 0.0000 0.0000 0.0000
2 Tc 0.2500 0.7500 0.5000
3 Te 0.5000 0.5000 0.0000
4 Te 0.7500 0.2500 0.5000

Entry 11:
Here is an optimized crystal structure of SrTc2Te from the Alexandria database. Energies are from PBE.

Summary:
Its total magnetic moment is 0.000 μB per cell. The uncorrected formation energy comes out at 701 meV per atom. As for the final energy: -5.688 eV per atom.

Unit cell a=5.8179 b=5.8179 c=5.8179 alpha=147.40 beta=126.23 gamma=64.31
Element x y z (fractional)
1 Sr 0.0000 0.0000 0.0000
2 Tc 0.2842 0.7842 0.5000
3 Tc 0.7158 0.2158 0.5000
4 Te 0.5000 0.5000 0.0000

Entry 12:
Here is an optimized crystal structure of SrTcTe2 from the Alexandria database. Energies are from PBE.

Summary:
Its total magnetic moment is 0.892 μB per cell. The uncorrected formation energy comes out at -275 meV per atom. As for the final energy: -4.858 eV per atom.

Unit cell a=5.7447 b=5.7447 c=5.7447 alpha=137.63 beta=113.78 gamma=81.83
Element x y z (fractional)
1 Sr 0.0000 0.0000 0.0000
2 Tc 0.5000 0.5000 0.0000
3 Te 0.3059 0.8059 0.5000
4 Te 0.6941 0.1941 0.5000